1.
Entry from the Alexandria database: TmZr2Hg after structural relaxation (PBE-GGA).

Output
- Energy relative to the lowest polymorph listed for this composition: 0.00 kcal/mol of atoms
- Total energy: -22.2 eV for the cell shown
- Theoretical density: 9.851 g/cm3
- Energy of formation: -0.09 eV/atom

Cell lengths 4.640, 4.478, 4.478 Å; angles 90.00, 90.00, 90.00 degrees
Fractional coordinates of all 4 atoms:
1 Tm 0.500 0.000 0.000
2 Hg 0.500 0.500 0.500
3 Zr 0.000 0.000 0.500
4 Zr 0.000 0.500 0.000

2.
Entry from the Alexandria database: Tm3ZrHg6 after structural relaxation (PBE-GGA).

Output
- Total energy: -53.8 eV for the cell shown
- Theoretical density: 12.641 g/cm3
- Energy of formation: -0.31 eV/atom

Cell lengths 5.109, 8.899, 10.980 Å; angles 108.53, 90.00, 90.00 degrees
Fractional coordinates of all 20 atoms:
1 Tm 0.250 0.530 0.388
2 Tm 0.750 0.470 0.612
3 Tm 0.250 0.349 0.787
4 Tm 0.750 0.651 0.213
5 Tm 0.250 0.771 0.990
6 Tm 0.750 0.229 0.010
7 Zr 0.250 0.943 0.593
8 Zr 0.750 0.057 0.407
9 Hg 0.250 0.473 0.087
10 Hg 0.750 0.527 0.913
11 Hg 0.250 0.151 0.178
12 Hg 0.750 0.849 0.822
13 Hg 0.250 0.657 0.692
14 Hg 0.750 0.343 0.308
15 Hg 0.250 0.243 0.492
16 Hg 0.750 0.757 0.508
17 Hg 0.250 0.855 0.304
18 Hg 0.750 0.145 0.696
19 Hg 0.250 0.059 0.879
20 Hg 0.750 0.941 0.121

3.
Entry from the Alexandria database: Tm3ZrHg4 after structural relaxation (PBE-GGA).

Output
- Total energy: -26.1 eV for the cell shown
- Theoretical density: 12.113 g/cm3
- Energy of formation: -0.37 eV/atom

Cell lengths 5.140, 5.140, 8.901 Å; angles 73.22, 73.22, 60.00 degrees
Each line ends with the local moment (μB).
Fractional coordinates of all 8 atoms:
1 Tm 0.253 0.253 0.240  0.20
2 Tm 0.747 0.747 0.760  0.20
3 Tm 0.500 0.500 0.500  0.08
4 Hg 0.875 0.875 0.376  0.01
5 Hg 0.376 0.376 0.873  0.01
6 Hg 0.125 0.125 0.624  0.01
7 Hg 0.624 0.624 0.127  0.01
8 Zr 0.000 0.000 0.000  0.64

4.
Entry from the Alexandria database: TmZrHg2 after structural relaxation (PBE-GGA).

Output
- Energy relative to the lowest polymorph listed for this composition: 0.58 kcal/mol of atoms
- Total energy: -14.6 eV for the cell shown
- Theoretical density: 11.805 g/cm3
- Energy of formation: -0.25 eV/atom

Cell lengths 5.086, 5.086, 5.086 Å; angles 60.00, 60.00, 60.00 degrees
Each line ends with the local moment (μB).
Fractional coordinates of all 4 atoms:
1 Tm 0.000 0.000 0.000  0.19
2 Hg 0.250 0.250 0.250  0.01
3 Hg 0.750 0.750 0.750  0.01
4 Zr 0.500 0.500 0.500  0.35

5.
Entry from the Alexandria database: Tm4ZrHg5 after structural relaxation (PBE-GGA).

Output
- Total energy: -31.9 eV for the cell shown
- Theoretical density: 12.171 g/cm3
- Energy of formation: -0.40 eV/atom

Cell lengths 3.649, 3.649, 18.134 Å; angles 90.00, 90.00, 90.00 degrees
Each line ends with the local moment (μB).
Fractional coordinates of all 10 atoms:
1 Tm 0.000 0.000 0.194  0.04
2 Tm 0.000 0.000 0.398  0.01
3 Tm 0.000 0.000 0.602  0.01
4 Tm 0.000 0.000 0.806  0.04
5 Zr 0.000 0.000 0.000  0.17
6 Hg 0.500 0.500 0.094  0.00
7 Hg 0.500 0.500 0.295  0.00
8 Hg 0.500 0.500 0.500  0.00
9 Hg 0.500 0.500 0.705  0.00
10 Hg 0.500 0.500 0.906  0.00

6.
Entry from the Alexandria database: Tm2ZrHg3 after structural relaxation (PBE-GGA).

Output
- Total energy: -20.5 eV for the cell shown
- Theoretical density: 12.037 g/cm3
- Energy of formation: -0.34 eV/atom

Cell lengths 3.643, 3.643, 10.713 Å; angles 90.00, 90.00, 90.00 degrees
Each line ends with the local moment (μB).
Fractional coordinates of all 6 atoms:
1 Tm 0.500 0.500 0.828  0.03
2 Tm 0.500 0.500 0.172  0.03
3 Zr 0.500 0.500 0.500  0.10
4 Hg 0.000 0.000 0.000  0.00
5 Hg 0.000 0.000 0.659  0.00
6 Hg 0.000 0.000 0.341  0.00

7.
Entry from the Alexandria database: Tm5Zr3Hg12 after structural relaxation (PBE-GGA).

Output
- Total energy: -191.4 eV for the cell shown
- Theoretical density: 9.723 g/cm3
- Energy of formation: 0.19 eV/atom

Cell lengths 14.625, 14.625, 14.625 Å; angles 109.47, 109.47, 109.47 degrees
Fractional coordinates of all 80 atoms:
1 Zr 0.750 0.375 0.125
2 Zr 0.875 0.750 0.125
3 Zr 0.375 0.750 0.625
4 Zr 0.250 0.125 0.375
5 Zr 0.875 0.125 0.250
6 Zr 0.375 0.625 0.250
7 Zr 0.625 0.375 0.750
8 Zr 0.125 0.875 0.750
9 Zr 0.750 0.875 0.625
10 Zr 0.625 0.250 0.375
11 Zr 0.125 0.250 0.875
12 Zr 0.250 0.625 0.875
13 Tm 0.125 0.375 0.250
14 Tm 0.000 0.500 0.000
15 Tm 0.000 0.000 0.000
16 Tm 0.375 0.250 0.125
17 Tm 0.500 0.000 0.500
18 Tm 0.500 0.500 0.000
19 Tm 0.125 0.750 0.375
20 Tm 0.750 0.125 0.875
21 Tm 0.750 0.625 0.375
22 Tm 0.375 0.125 0.750
23 Tm 0.625 0.875 0.250
24 Tm 0.500 0.500 0.500
25 Tm 0.500 0.000 0.000
26 Tm 0.000 0.000 0.500
27 Tm 0.250 0.375 0.625
28 Tm 0.250 0.875 0.125
29 Tm 0.000 0.500 0.500
30 Tm 0.875 0.250 0.625
31 Tm 0.625 0.750 0.875
32 Tm 0.875 0.625 0.750
33 Hg 0.731 0.146 0.070
34 Hg 0.339 0.570 0.425
35 Hg 0.930 0.354 0.269
36 Hg 0.570 0.231 0.146
37 Hg 0.585 0.731 0.661
38 Hg 0.930 0.575 0.161
39 Hg 0.339 0.769 0.415
40 Hg 0.075 0.915 0.146
41 Hg 0.575 0.930 0.661
42 Hg 0.731 0.585 0.161
43 Hg 0.769 0.430 0.354
44 Hg 0.839 0.925 0.070
45 Hg 0.146 0.731 0.570
46 Hg 0.354 0.425 0.085
47 Hg 0.085 0.925 0.354
48 Hg 0.415 0.146 0.575
49 Hg 0.085 0.161 0.231
50 Hg 0.430 0.661 0.075
51 Hg 0.839 0.915 0.269
52 Hg 0.146 0.415 0.075
53 Hg 0.354 0.930 0.769
54 Hg 0.575 0.646 0.415
55 Hg 0.925 0.839 0.570
56 Hg 0.769 0.339 0.915
57 Hg 0.425 0.354 0.585
58 Hg 0.075 0.161 0.430
59 Hg 0.231 0.661 0.085
60 Hg 0.161 0.085 0.731
61 Hg 0.646 0.070 0.231
62 Hg 0.854 0.585 0.925
63 Hg 0.570 0.339 0.925
64 Hg 0.585 0.854 0.425
65 Hg 0.915 0.839 0.769
66 Hg 0.915 0.075 0.646
67 Hg 0.854 0.269 0.430
68 Hg 0.161 0.075 0.930
69 Hg 0.646 0.575 0.915
70 Hg 0.425 0.070 0.339
71 Hg 0.269 0.415 0.839
72 Hg 0.231 0.570 0.646
73 Hg 0.925 0.085 0.854
74 Hg 0.661 0.231 0.585
75 Hg 0.430 0.769 0.854
76 Hg 0.070 0.425 0.839
77 Hg 0.415 0.269 0.339
78 Hg 0.070 0.646 0.731
79 Hg 0.661 0.430 0.575
80 Hg 0.269 0.854 0.930

8.
Entry from the Alexandria database: TmZr2Hg6 after structural relaxation (PBE-GGA).

Output
- Total energy: -24.6 eV for the cell shown
- Theoretical density: 12.878 g/cm3
- Energy of formation: -0.13 eV/atom

Cell lengths 3.225, 8.470, 9.054 Å; angles 117.89, 110.62, 90.00 degrees
Fractional coordinates of all 9 atoms:
1 Tm 0.000 0.000 0.000
2 Zr 0.333 0.666 0.333
3 Zr 0.667 0.334 0.667
4 Hg 0.830 0.335 0.335
5 Hg 0.170 0.000 0.665
6 Hg 0.170 0.665 0.665
7 Hg 0.500 0.335 0.000
8 Hg 0.830 0.000 0.335
9 Hg 0.500 0.665 0.000

9.
Entry from the Alexandria database: Tm5ZrHg4 after structural relaxation (PBE-GGA).

Output
- Total energy: -35.8 eV for the cell shown
- Theoretical density: 11.466 g/cm3
- Energy of formation: -0.37 eV/atom

Cell lengths 3.570, 3.570, 19.758 Å; angles 90.00, 90.00, 90.00 degrees
Fractional coordinates of all 10 atoms:
1 Tm 0.500 0.500 0.109
2 Tm 0.500 0.500 0.308
3 Tm 0.500 0.500 0.500
4 Tm 0.500 0.500 0.692
5 Tm 0.500 0.500 0.891
6 Zr 0.000 0.000 0.000
7 Hg 0.000 0.000 0.208
8 Hg 0.000 0.000 0.404
9 Hg 0.000 0.000 0.596
10 Hg 0.000 0.000 0.792

10.
Entry from the Alexandria database: TmZrHg4 after structural relaxation (PBE-GGA).

Output
- Energy relative to the lowest polymorph listed for this composition: 0.59 kcal/mol of atoms
- Total energy: -15.2 eV for the cell shown
- Theoretical density: 12.805 g/cm3
- Energy of formation: -0.17 eV/atom

Cell lengths 3.499, 5.149, 7.849 Å; angles 90.00, 102.98, 90.00 degrees
Fractional coordinates of all 6 atoms:
1 Tm 0.360 0.497 0.966
2 Zr 0.141 0.997 0.529
3 Hg 0.477 0.997 0.202
4 Hg 0.808 0.997 0.862
5 Hg 0.693 0.497 0.628
6 Hg 0.028 0.497 0.302

11.
Entry from the Alexandria database: Tm2ZrHg after structural relaxation (PBE-GGA).

Output
- Energy relative to the lowest polymorph listed for this composition: 3.03 kcal/mol of atoms
- Total energy: -18.2 eV for the cell shown
- Theoretical density: 10.541 g/cm3
- Energy of formation: -0.09 eV/atom

Cell lengths 4.514, 4.687, 4.687 Å; angles 90.00, 90.00, 90.00 degrees
Fractional coordinates of all 4 atoms:
1 Tm 0.000 0.000 0.500
2 Tm 0.000 0.500 0.000
3 Hg 0.500 0.500 0.500
4 Zr 0.500 0.000 0.000

12.
Entry from the Alexandria database: Tm2ZrHg after structural relaxation (PBE-GGA).

Output
- Energy relative to the lowest polymorph listed for this composition: 2.23 kcal/mol of atoms
- Total energy: -18.3 eV for the cell shown
- Theoretical density: 9.870 g/cm3
- Energy of formation: -0.13 eV/atom

Cell lengths 3.486, 3.486, 10.263 Å; angles 80.23, 80.23, 59.99 degrees
Fractional coordinates of all 4 atoms:
1 Tm 0.081 0.081 0.756
2 Tm 0.252 0.252 0.243
3 Zr 0.500 0.500 0.500
4 Hg 0.667 0.667 0.001

Among the records above, which one has the lowest total energy?
Tm5Zr3Hg12